# LaZrBi2 (PBE, optimized geometry)
# - Crystal system: trigonal
# - Total magnetization: 0.06 Bohr magnetons per cell
# - Electronic total energy: -5.428 eV per atom
# - Formation energy: -118 meV per atom
data_LaZrBi2
_chemical_formula_sum 'La3 Zr3 Bi6'
_cell_length_a 3.4772
_cell_length_b 3.4772
_cell_length_c 34.8816
_cell_angle_alpha 90.00
_cell_angle_beta 90.00
_cell_angle_gamma 120.00
_space_group_name_H-M_alt 'R -3 m'
_space_group_IT_number 166
_space_group_name_Hall '-R 3 2"'
loop_
_atom_site_label
_atom_site_fract_x
_atom_site_fract_y
_atom_site_fract_z
La1 0.0000 0.0000 0.0000
Zr1 0.0000 0.0000 0.5000
Bi1 0.0000 0.0000 0.0969